No. 1
Li2CaF at its PBEsol-relaxed geometry. Source: Alexandria, functional meta-GGA SCAN.

Lattice parameters (Å, degrees): 8.9423 8.9423 8.9423 90.00 90.00 90.00
With the nearest neighbours (Å) after each atom.
Space group Fd-3m (No. 227, origin choice 2)
Asymmetric unit:
Li  0.0000  0.0000  0.0000 x16  2 F 1.94
Ca  0.1250  0.1250  0.6250 x8  12 Li 3.71, 4 Ca 3.87, 4 F 3.87
F  0.1250  0.1250  0.1250 x8  4 Li 1.94

Computed properties:
* ΔE to the lowest computed polymorph: 0.00 eV per formula unit
* size of the total moment: 0.01 μB per cell
* V: 89.38 Å³/f.u.
* formation energy without anion corrections: -5.038 eV/f.u.
* Fermi-level density of states: 16.9 states/eV per cell

No. 2
KSbOs2 at its PBEsol-relaxed geometry. Source: Alexandria, functional meta-GGA SCAN.

Lattice parameters (Å, degrees): 5.8716 10.4135 2.7027 90.00 117.20 90.00
With the nearest neighbours (Å) after each atom.
Space group C2/m (No. 12)
Asymmetric unit:
K  0.0000  0.0000  0.0000 x2  2 K 2.70, 4 Sb 2.94, 4 Os 2.99
Sb  0.0000  0.5000  0.0000 x2  2 Sb 2.70, 4 K 2.94, 4 Os 2.99
Os  0.2500  0.2500  0.0000 x4  6 Os 2.70-2.94, 2 K 2.99, 2 Sb 2.99

Computed properties:
* size of the total moment: 0.00 μB per cell
* V: 73.49 Å³/f.u.
* formation energy without anion corrections: 5.577 eV/f.u.
* Fermi-level density of states: 7.8 states/eV per cell

No. 3
Sn2PdNO at its PBEsol-relaxed geometry. Source: Alexandria, functional meta-GGA SCAN.

Lattice parameters (Å, degrees): 4.7715 4.7715 3.8384 90.00 90.00 90.00
With the nearest neighbours (Å) after each atom.
Space group P4/mmm (No. 123)
Asymmetric unit:
Sn  0.0000  0.5000  0.0000 x2  2 N 2.39
Pd  0.0000  0.0000  0.5000 x1  2 N 1.92
N  0.0000  0.0000  0.0000 x1  2 Pd 1.92
O  0.5000  0.5000  0.5000 x1  8 Sn 3.06, 4 Pd 3.37

Computed properties:
* size of the total moment: 0.00 μB per cell
* V: 87.39 Å³/f.u.
* formation energy without anion corrections: 2.705 eV/f.u.
* Fermi-level density of states: 2.5 states/eV per cell

No. 4
NaGaP2O7 at its PBEsol-relaxed geometry. Source: Alexandria, functional meta-GGA SCAN.

Lattice parameters (Å, degrees): 7.3096 7.8140 9.4781 90.00 111.98 90.00
With the nearest neighbours (Å) after each atom.
Space group P2_1/c (No. 14)
Asymmetric unit:
Na  0.2098  0.0234  0.2045 x4  6 O 2.36-2.63
Ga  0.2412  0.0068  0.7520 x4  6 O 1.93-2.02
P  0.1723  0.7092  0.9545 x4  4 O 1.52-1.62
P  0.4249  0.2457  0.0443 x4  4 O 1.51-1.62
O  0.0309  0.5823  0.8475 x4  1 P 1.52
O  0.1379  0.6040  0.3998 x4  1 P 1.54
O  0.1917  0.7012  0.1204 x4  1 P 1.53
O  0.3097  0.2144  0.8753 x4  1 P 1.52
O  0.3108  0.1342  0.6049 x4  1 P 1.51
O  0.3773  0.6502  0.9398 x4  2 P 1.62
O  0.4891  0.0817  0.1390 x4  1 P 1.53

Computed properties:
* size of the total moment: 0.00 μB per cell
* V: 125.50 Å³/f.u.
* formation energy without anion corrections: -26.739 eV/f.u.
* Fermi-level density of states: 0.0 states/eV per cell

No. 5
La2MoP2 at its PBEsol-relaxed geometry. Source: Alexandria, functional meta-GGA SCAN.

Lattice parameters (Å, degrees): 3.4655 3.4655 17.8848 90.00 90.00 90.00
With the nearest neighbours (Å) after each atom.
Space group I4/mmm (No. 139)
Asymmetric unit:
La  0.0000  0.0000  0.1087 x4  4 P 3.06, 4 Mo 3.13
Mo  0.0000  0.0000  0.5000 x2  8 La 3.13, 4 Mo 3.47
P  0.0000  0.5000  0.2500 x4  4 P 2.45

Computed properties:
* size of the total moment: 3.95 μB per cell
* V: 107.40 Å³/f.u.
* Fermi-level density of states: 7.0 states/eV per cell
* formation enthalpy at 0 K: -45 meV/atom

No. 6
LaHf2B at its PBEsol-relaxed geometry. Source: Alexandria, functional meta-GGA SCAN.

Lattice parameters (Å, degrees): 6.8271 6.8271 9.3123 90.00 90.00 90.00
With the nearest neighbours (Å) after each atom.
Space group I-42d (No. 122)
Asymmetric unit:
La  0.0000  0.0000  0.0000 x4  8 Hf 3.62-3.91
Hf  0.0653  0.7500  0.6250 x8  2 B 2.11
B  0.0000  0.0000  0.5000 x4  4 Hf 2.11

Computed properties:
* size of the total moment: 2.48 μB per cell
* V: 108.51 Å³/f.u.
* Fermi-level density of states: 20.0 states/eV per cell
* formation enthalpy at 0 K: 642 meV/atom